[1]
Crystalline Li2InTcN at its relaxed geometry, computed with PBE.

## Properties
E: -5.27 eV/atom
V: 13.5 A^3/atom
energy relative to the elements, uncorrected: -217 meV per atom
SG: P4/mmm (123)

Cell and atoms, written as POSCAR:
```
Li2InTcN
1.0
4.1433 0.0000 0.0000
0.0000 4.1433 0.0000
0.0000 0.0000 3.9229
N Li Tc In
1 2 1 1
direct
0.0000 0.0000 0.0000
0.0000 0.5000 0.0000
0.5000 0.0000 0.0000
0.0000 0.0000 0.5000
0.5000 0.5000 0.5000
```

---

[2]
Crystalline BaCe2PtN4 at its relaxed geometry, computed with PBE.

## Properties
E: -7.49 eV/atom
V: 17.5 A^3/atom
energy relative to the elements, uncorrected: -846 meV per atom
SG: Cmcm (63)

Cell and atoms, written as POSCAR:
```
BaCe2PtN4
1.0
3.8240 0.0000 0.0000
-1.9120 5.9187 0.0000
0.0000 0.0000 12.3841
Ba Ce Pt N
2 4 2 8
direct
0.0868 0.1736 0.7500
0.9132 0.8264 0.2500
0.3641 0.7282 0.5534
0.6359 0.2718 0.0534
0.6359 0.2718 0.4466
0.3641 0.7282 0.9466
0.8120 0.6240 0.7500
0.1880 0.3760 0.2500
0.2481 0.4961 0.0939
0.7519 0.5039 0.5939
0.7519 0.5039 0.9061
0.2481 0.4961 0.4061
0.0000 0.0000 0.5000
0.0000 0.0000 0.0000
0.3807 0.7614 0.7500
0.6193 0.2386 0.2500
```

---

[3]
Crystalline MnBr2Cl at its relaxed geometry, computed with PBE.

## Properties
E: -3.48 eV/atom
V: 24.3 A^3/atom
energy relative to the elements, uncorrected: 106 meV per atom
SG: P4/mmm (123)

Cell and atoms, written as POSCAR:
```
MnBr2Cl
1.0
4.1023 0.0000 0.0000
0.0000 4.1095 0.0000
0.0000 0.0000 5.7627
Br Cl Mn
2 1 1
direct
0.0000 0.0000 0.0000
0.5000 0.5000 0.0000
0.5000 0.0000 0.5000
0.0000 0.5000 0.5000
```

---

[4]
Crystalline Tb3SmDy12 at its relaxed geometry, computed with PBE.

## Properties
E: -4.60 eV/atom
V: 31.7 A^3/atom
SG: P4/mmm (123)
ΔE_f: 0.02 eV per atom

Cell and atoms, written as POSCAR:
```
Tb3SmDy12
1.0
5.0254 0.0000 0.0000
0.0000 5.0254 0.0000
0.0000 0.0000 20.0866
Tb Sm Dy
3 1 12
direct
0.0000 0.0000 0.2504
0.0000 0.0000 0.5000
0.0000 0.0000 0.7496
0.0000 0.0000 0.0000
0.5000 0.5000 0.0000
0.5000 0.5000 0.2506
0.5000 0.5000 0.5000
0.5000 0.5000 0.7494
0.5000 0.0000 0.1258
0.5000 0.0000 0.3752
0.5000 0.0000 0.6248
0.5000 0.0000 0.8742
0.0000 0.5000 0.1258
0.0000 0.5000 0.3752
0.0000 0.5000 0.6248
0.0000 0.5000 0.8742
```

---

[5]
Crystalline Pb2W at its relaxed geometry, computed with PBE.

## Properties
E: -5.98 eV/atom
V: 26.0 A^3/atom
SG: I4/mmm (139)
ΔE_f: 0.81 eV per atom

Cell and atoms, written as POSCAR:
```
Pb2W
1.0
8.5746 0.0242 0.0000
7.4671 4.2149 0.0000
-8.0209 -2.1195 2.1673
Pb W
2 1
direct
0.3639 0.3639 0.0000
0.6361 0.6361 0.0000
0.0000 0.0000 0.0000
```

---

[6]
Crystalline AcLa3Ce2N6 at its relaxed geometry, computed with PBE.

## Properties
E: -8.06 eV/atom
V: 18.0 A^3/atom
energy relative to the elements, uncorrected: -1339 meV per atom
SG: C2/m (12)

Cell and atoms, written as POSCAR:
```
AcLa3Ce2N6
1.0
6.4229 0.0023 0.0024
-3.2079 5.5645 0.0024
-1.0703 -1.8532 6.0517
Ac La Ce N
1 3 2 6
direct
0.0000 0.0000 0.0000
0.1688 0.8312 0.5000
0.8312 0.1688 0.5000
0.5000 0.5000 0.5000
0.3342 0.6658 0.0000
0.6658 0.3342 0.0000
0.9201 0.5618 0.7617
0.7146 0.7146 0.2291
0.0799 0.4382 0.2383
0.5618 0.9201 0.7617
0.2854 0.2854 0.7709
0.4382 0.0799 0.2383
```

---

[7]
Crystalline Tl2Ag2BiSe4 at its relaxed geometry, computed with PBE.

## Properties
E: -3.40 eV/atom
V: 27.4 A^3/atom
energy relative to the elements, uncorrected: -257 meV per atom
SG: C2/m (12)

Cell and atoms, written as POSCAR:
```
Tl2Ag2BiSe4
1.0
4.1823 0.0000 0.0000
-2.0912 7.9779 -0.1047
0.0000 -2.8700 7.4223
Tl Ag Bi Se
2 2 1 4
direct
0.8705 0.7411 0.4413
0.1295 0.2589 0.5587
0.3132 0.6263 0.0082
0.6868 0.3737 0.9918
0.0000 0.0000 0.0000
0.7997 0.5993 0.7903
0.2003 0.4007 0.2097
0.4848 0.9697 0.2524
0.5152 0.0303 0.7476
```

---

[8]
Crystalline Ac4PtI2Br at its relaxed geometry, computed with PBE.

## Properties
E: -4.49 eV/atom
V: 37.2 A^3/atom
energy relative to the elements, uncorrected: -1086 meV per atom
SG: P2/m (10)

Cell and atoms, written as POSCAR:
```
Ac4PtI2Br
1.0
4.4175 0.0000 0.0000
0.0000 7.9641 0.1493
0.0000 -2.7872 8.4051
Ac Pt I Br
4 1 2 1
direct
0.5000 0.2556 0.2112
0.5000 0.7444 0.7888
0.0000 0.2903 0.8011
0.0000 0.7097 0.1989
0.5000 0.5000 0.0000
0.5000 0.0000 0.5000
0.0000 0.5000 0.5000
0.0000 0.0000 0.0000
```

---

Q: What is the V in the third record?
A: 24.3 A^3/atom

---

Q: Which value of E does entry 3 give?
A: -3.48 eV/atom

---

Q: The highest E belongs to which entry?
A: Tl2Ag2BiSe4

---

Q: Number 5 is which compound?
A: Pb2W